P | ! LaAgI2, relaxed, DFT PBE; values from VASP
&SYSTEM
  ibrav = 0, nat = 16, ntyp = 3
/
ATOMIC_SPECIES
La 138.91 La.upf
Ag 107.87 Ag.upf
I 126.90 I.upf
CELL_PARAMETERS angstrom
7.648 0.000 0.000
0.000 7.648 0.000
0.000 0.000 11.338
ATOMIC_POSITIONS crystal
La 0.000 0.000 0.000
La 0.000 0.500 0.250
La 0.500 0.000 0.750
La 0.500 0.500 0.500
Ag 0.000 0.000 0.500
Ag 0.000 0.500 0.750
Ag 0.500 0.000 0.250
Ag 0.500 0.500 0.000
I 0.211 0.250 0.625
I 0.250 0.711 0.875
I 0.250 0.789 0.375
I 0.289 0.250 0.125
I 0.711 0.750 0.125
I 0.750 0.211 0.375
I 0.750 0.289 0.875
I 0.789 0.750 0.625
! Total magnetization ... 7.4 μB per cell
! Symmetry ... I-42d, No. 122

=====

Q | ! LaAgI2, relaxed, DFT PBE; values from VASP
&SYSTEM
  ibrav = 0, nat = 16, ntyp = 3
/
ATOMIC_SPECIES
La 138.91 La.upf
Ag 107.87 Ag.upf
I 126.90 I.upf
CELL_PARAMETERS angstrom
7.904 0.000 0.000
0.000 7.904 0.000
0.000 0.000 7.904
ATOMIC_POSITIONS crystal
La 0.000 0.000 0.000
La 0.000 0.500 0.500
La 0.500 0.000 0.500
La 0.500 0.500 0.000
Ag 0.000 0.000 0.500
Ag 0.000 0.500 0.000
Ag 0.500 0.000 0.000
Ag 0.500 0.500 0.500
I 0.250 0.250 0.250
I 0.250 0.250 0.750
I 0.250 0.750 0.250
I 0.250 0.750 0.750
I 0.750 0.250 0.250
I 0.750 0.250 0.750
I 0.750 0.750 0.250
I 0.750 0.750 0.750
! Total magnetization ... 0.0 μB per cell
! Symmetry ... Fm-3m, No. 225

=====

Structures ranked by computed energy, the most stable listed first: Q, P.